Record 1
# LiCuIO2 GGA-PBE optimized geometry
data_LiCuIO2
_chemical_formula_sum 'Li1 Cu1 I1 O2'
_space_group_name_H-M_alt 'P 4/m m m'
_space_group_IT_number 123
_space_group_name_Hall '-P 4 2'
_cell_length_a 3.735
_cell_length_b 3.735
_cell_length_c 5.900
_cell_angle_alpha 90.00
_cell_angle_beta 90.00
_cell_angle_gamma 90.00
loop_
_atom_site_label
_atom_site_type_symbol
_atom_site_fract_x
_atom_site_fract_y
_atom_site_fract_z
Li1 Li 0.000 0.000 0.000
Cu1 Cu 0.500 0.500 0.500
I1 I 0.000 0.000 0.500
O1 O 0.000 0.500 0.000
# Energy relative to the elements, uncorrected (meV per atom): 308
# Spin magnetization (μB per formula unit): 0.14
# Final energy (eV for the cell shown): -15.937


Record 2
# Be2NiIr GGA-PBE optimized geometry
data_Be2NiIr
_chemical_formula_sum 'Be2 Ni1 Ir1'
_space_group_name_H-M_alt 'P 4 m m'
_space_group_IT_number 99
_cell_length_a 2.782
_cell_length_b 2.782
_cell_length_c 5.310
_cell_angle_alpha 90.00
_cell_angle_beta 90.00
_cell_angle_gamma 90.00
loop_
_space_group_symop_operation_xyz
'x,y,z'
'-y,x,z'
'-x,-y,z'
'y,-x,z'
'-x,y,z'
'y,x,z'
'x,-y,z'
'-y,-x,z'
loop_
_atom_site_label
_atom_site_type_symbol
_atom_site_fract_x
_atom_site_fract_y
_atom_site_fract_z
Be1 Be 0.000 0.000 0.000
Be2 Be 0.500 0.500 0.218
Ni1 Ni 0.500 0.500 0.786
Ir1 Ir 0.000 0.000 0.456
# Spin magnetization (μB per formula unit): 0.00
# Final energy (eV for the cell shown): -23.389


Record 3
# Sr4Mg2Ag5 GGA-PBE optimized geometry
data_Sr4Mg2Ag5
_chemical_formula_sum 'Sr16 Mg8 Ag20'
_space_group_name_H-M_alt 'I b a m'
_space_group_IT_number 72
_space_group_name_Hall '-I 2 2c'
_cell_length_a 9.717
_cell_length_b 20.547
_cell_length_c 6.227
_cell_angle_alpha 90.00
_cell_angle_beta 90.00
_cell_angle_gamma 90.00
loop_
_atom_site_label
_atom_site_type_symbol
_atom_site_fract_x
_atom_site_fract_y
_atom_site_fract_z
Sr1 Sr 0.122 0.152 0.000
Sr2 Sr 0.227 0.439 0.000
Mg1 Mg 0.000 0.303 0.250
Ag1 Ag 0.000 0.000 0.250
Ag2 Ag 0.086 0.415 0.500
Ag3 Ag 0.198 0.218 0.500
# Spin magnetization (μB per formula unit): 0.00
# Final energy (eV for the cell shown): -105.905


Record 4
# KErS2O8 GGA-PBE optimized geometry
data_KErS2O8
_chemical_formula_sum 'K4 Er4 S8 O32'
_space_group_name_H-M_alt 'P 1 21/c 1'
_space_group_IT_number 14
_cell_length_a 5.496
_cell_length_b 13.492
_cell_length_c 10.185
_cell_angle_alpha 90.00
_cell_angle_beta 119.28
_cell_angle_gamma 90.00
loop_
_space_group_symop_operation_xyz
'x,y,z'
'-x,-y,-z'
'-x,y+1/2,-z+1/2'
'x,-y+1/2,z+1/2'
loop_
_atom_site_label
_atom_site_type_symbol
_atom_site_fract_x
_atom_site_fract_y
_atom_site_fract_z
K1 K 0.090 0.088 0.345
Er1 Er 0.409 0.651 0.687
S1 S 0.140 0.663 0.887
S2 S 0.323 0.117 0.080
O1 O 0.019 0.101 0.979
O2 O 0.084 0.733 0.764
O3 O 0.115 0.103 0.648
O4 O 0.243 0.709 0.036
O5 O 0.360 0.593 0.892
O6 O 0.364 0.211 0.163
O7 O 0.438 0.033 0.188
O8 O 0.467 0.122 0.989
# Energy relative to the elements, uncorrected (meV per atom): -2090
# Spin magnetization (μB per formula unit): 0.00
# Final energy (eV for the cell shown): -314.642


Record 5
# Th3Mg2Cd7 GGA-PBE optimized geometry
data_Th3Mg2Cd7
_chemical_formula_sum 'Th3 Mg2 Cd7'
_space_group_name_H-M_alt 'P 1 2/m 1'
_space_group_IT_number 10
_cell_length_a 4.840
_cell_length_b 4.237
_cell_length_c 15.475
_cell_angle_alpha 90.00
_cell_angle_beta 98.89
_cell_angle_gamma 90.00
loop_
_space_group_symop_operation_xyz
'x,y,z'
'-x,-y,-z'
'-x,y,-z'
'x,-y,z'
loop_
_atom_site_label
_atom_site_type_symbol
_atom_site_fract_x
_atom_site_fract_y
_atom_site_fract_z
Th1 Th 0.000 0.000 0.000
Th2 Th 0.313 0.500 0.627
Mg1 Mg 0.138 0.000 0.276
Cd1 Cd 0.079 0.500 0.159
Cd2 Cd 0.227 0.000 0.453
Cd3 Cd 0.418 0.000 0.835
Cd4 Cd 0.500 0.500 0.000
# Spin magnetization (μB per formula unit): 0.00
# Final energy (eV for the cell shown): -31.926


Record 6
# Be2ReAu GGA-PBE optimized geometry
data_Be2ReAu
_chemical_formula_sum 'Be6 Re3 Au3'
_space_group_name_H-M_alt 'R -3 m'
_space_group_IT_number 166
_space_group_name_Hall '-R 3 2"'
_cell_length_a 2.7682
_cell_length_b 2.7682
_cell_length_c 23.5090
_cell_angle_alpha 90.00
_cell_angle_beta 90.00
_cell_angle_gamma 120.00
loop_
_atom_site_label
_atom_site_type_symbol
_atom_site_fract_x
_atom_site_fract_y
_atom_site_fract_z
Be1 Be 0.0000 0.0000 0.2483
Re1 Re 0.0000 0.0000 0.5000
Au1 Au 0.0000 0.0000 0.0000
# Spin magnetization (μB per formula unit): 0.00
# Final energy (eV for the cell shown): -67.762


Record 7
# Sr2TeRh GGA-PBE optimized geometry
data_Sr2TeRh
_chemical_formula_sum 'Sr4 Te2 Rh2'
_space_group_name_H-M_alt 'A m m 2'
_space_group_IT_number 38
_cell_length_a 4.564
_cell_length_b 4.554
_cell_length_c 11.669
_cell_angle_alpha 90.00
_cell_angle_beta 90.00
_cell_angle_gamma 90.00
loop_
_space_group_symop_operation_xyz
'x,y,z'
'-x,-y,z'
'-x,y,z'
'x,-y,z'
'x,y+1/2,z+1/2'
'-x,-y+1/2,z+1/2'
'-x,y+1/2,z+1/2'
'x,-y+1/2,z+1/2'
loop_
_atom_site_label
_atom_site_type_symbol
_atom_site_fract_x
_atom_site_fract_y
_atom_site_fract_z
Sr1 Sr 0.000 0.000 0.000
Sr2 Sr 0.500 0.000 0.281
Te1 Te 0.500 0.000 0.576
Rh1 Rh 0.000 0.000 0.705
# Energy relative to the elements, uncorrected (meV per atom): -751
# Spin magnetization (μB per formula unit): 0.00
# Final energy (eV for the cell shown): -33.719


Record 8
# Ba3NbAu GGA-PBE optimized geometry
data_Ba3NbAu
_chemical_formula_sum 'Ba3 Nb1 Au1'
_space_group_name_H-M_alt 'P m -3 m'
_space_group_IT_number 221
_space_group_name_Hall '-P 4 2 3'
_cell_length_a 6.281
_cell_length_b 6.281
_cell_length_c 6.281
_cell_angle_alpha 90.00
_cell_angle_beta 90.00
_cell_angle_gamma 90.00
loop_
_atom_site_label
_atom_site_type_symbol
_atom_site_fract_x
_atom_site_fract_y
_atom_site_fract_z
Ba1 Ba 0.000 0.000 0.500
Nb1 Nb 0.500 0.500 0.500
Au1 Au 0.000 0.000 0.000
# Spin magnetization (μB per formula unit): 4.58
# Final energy (eV for the cell shown): -16.511